[1]
Al2SbCl after structural relaxation. Source: Alexandria, functional PBE.

E   -13.087 eV for the cell shown
Space group   Pmmm
Fermi-level density of states   1.13 states/eV per cell

a b c (Å): 3.174 5.196 5.234
angles (deg): 90.00 90.00 90.00
Sites, in units of the cell vectors:
Al: 0.000 0.000 0.000
Al: 0.500 0.000 0.500
Sb: 0.000 0.500 0.500
Cl: 0.500 0.500 0.000

=====

[2]
KRbBaCa after structural relaxation. Source: Alexandria, functional PBE.

Energy relative to the elements   0.7 eV/f.u.
Space group   F-43m
Fermi-level density of states   20.01 states/eV per cell

a b c (Å): 10.111 10.111 10.111
angles (deg): 90.00 90.00 90.00
Sites, in units of the cell vectors:
K: 0.000 0.000 0.000
K: 0.000 0.500 0.500
K: 0.500 0.000 0.500
K: 0.500 0.500 0.000
Rb: 0.250 0.250 0.750
Rb: 0.250 0.750 0.250
Rb: 0.750 0.250 0.250
Rb: 0.750 0.750 0.750
Ba: 0.250 0.250 0.250
Ba: 0.250 0.750 0.750
Ba: 0.750 0.250 0.750
Ba: 0.750 0.750 0.250
Ca: 0.000 0.000 0.500
Ca: 0.000 0.500 0.000
Ca: 0.500 0.000 0.000
Ca: 0.500 0.500 0.500

=====

[3]
Sr3Li after structural relaxation. Source: Alexandria, functional PBE.

Energy relative to the elements   1.6 eV/f.u.
Space group   Pm-3m
Fermi-level density of states   5.39 states/eV per cell

a b c (Å): 6.493 6.493 6.493
angles (deg): 90.00 90.00 90.00
Sites, in units of the cell vectors:
Sr: 0.000 0.000 0.500
Sr: 0.000 0.500 0.000
Sr: 0.500 0.000 0.000
Li: 0.000 0.000 0.000